The following is a DFT calculation (PBE-GGA) of crystalline Dy2MnGa3Pt4 at its relaxed geometry.

Cell: 4.058 4.058 11.272 Å, 90.00 90.00 90.00°
Atoms (fractional coordinates):
1 Dy 0.000 0.500 0.750
2 Dy 0.500 0.000 0.250
3 Pt 0.500 0.500 0.000
4 Pt 0.000 0.500 0.353
5 Pt 0.000 0.000 0.000
6 Pt 0.500 0.000 0.647
7 Ga 0.500 0.000 0.866
8 Ga 0.000 0.500 0.134
9 Ga 0.000 0.000 0.500
10 Mn 0.500 0.500 0.500

Output
**Energy of formation**: -0.87 eV/atom